1.
Below is a relaxed structure of ErPuSc4, with properties calculated at the GGA-PBE level.

abc: 8.944 8.944 5.254
angles: 90.00 90.00 159.88
Element x y z (fractional)
Sc (0.804, 0.196, 0.500)
Er (0.134, 0.866, 0.500)
Pu (0.370, 0.630, 0.000)
Sc (0.028, 0.972, 0.000)
Sc (0.462, 0.538, 0.500)
Sc (0.710, 0.290, 0.000)

=====

2.
Below is a relaxed structure of BaCrAg2, with properties calculated at the GGA-PBE level.

abc: 5.293 5.293 5.293
angles: 60.00 60.00 60.00
Element x y z (fractional)
Cr (0.750, 0.750, 0.750)
Ag (0.000, 0.000, 0.000)
Ag (0.250, 0.250, 0.250)
Ba (0.500, 0.500, 0.500)

=====

| no. | electronic total energy (eV for the cell shown) | total magnetization (μB/atom) |
| --- | --- | --- |
| 1 | -41.972 | 0.0189 |
| 2 | -15.469 | 1.2430 |